Record 1
The following is a DFT calculation (PBE-GGA) of crystalline Ga3FeCl at its relaxed geometry.

Geometry as POSCAR:
```
Ga3FeCl
1.0
5.0928 0.0000 0.0000
0.0000 5.0928 0.0000
0.0000 0.0000 5.0928
Ga Fe Cl
3 1 1
direct
0.0000 0.0000 0.5000 Ga
0.0000 0.5000 0.0000 Ga
0.5000 0.0000 0.0000 Ga
0.5000 0.5000 0.5000 Fe
0.0000 0.0000 0.0000 Cl
```

Output
Its formation energy from raw total energies is 0.83 eV per atom. For the mass density, the calculation gives 3.8 Mg/m³. As for the space group: Pm-3m.

=====

Record 2
The following is a DFT calculation (PBE-GGA) of crystalline Ga2FeCl6 at its relaxed geometry.

Geometry as POSCAR:
```
Ga2FeCl6
1.0
7.4686 -6.8082 0.0000
7.4686 6.8082 0.0000
-0.8884 0.0000 5.9825
Ga Fe Cl
4 2 12
direct
0.0066 0.8283 0.7185 Ga
0.1717 0.9934 0.7815 Ga
0.8283 0.0066 0.2185 Ga
0.9934 0.1717 0.2815 Ga
0.4992 0.5008 0.7500 Fe
0.5008 0.4992 0.2500 Fe
0.0363 0.6286 0.8149 Cl
0.0774 0.2012 0.6600 Cl
0.2012 0.0774 0.1600 Cl
0.3264 0.5065 0.4678 Cl
0.3714 0.9637 0.6851 Cl
0.4935 0.6736 0.0322 Cl
0.5065 0.3264 0.9678 Cl
0.6286 0.0363 0.3149 Cl
0.6736 0.4935 0.5322 Cl
0.7988 0.9226 0.8400 Cl
0.9226 0.7988 0.3400 Cl
0.9637 0.3714 0.1851 Cl
```

Output
Its formation energy from raw total energies is -0.91 eV per atom. For the mass density, the calculation gives 2.2 Mg/m³. As for the space group: C2/c.

=====

Record 3
The following is a DFT calculation (PBE-GGA) of crystalline GaFeCl2 at its relaxed geometry.

Geometry as POSCAR:
```
GaFeCl2
1.0
1.6780 0.9688 8.6909
-1.6780 0.9688 8.6909
0.0000 -1.9376 8.6909
Ga Fe Cl
1 1 2
direct
0.0000 0.0000 0.0000 Ga
0.5000 0.5000 0.5000 Fe
0.1190 0.1190 0.1190 Cl
0.8810 0.8810 0.8810 Cl
```

Output
Its formation energy from raw total energies is -0.10 eV per atom. For the mass density, the calculation gives 3.8 Mg/m³. As for the space group: R-3m.

=====

Record 4
The following is a DFT calculation (PBE-GGA) of crystalline GaFeCl2 at its relaxed geometry.

Geometry as POSCAR:
```
GaFeCl2
1.0
0.0000 3.3824 3.3824
3.3824 0.0000 3.3824
3.3824 3.3824 0.0000
Ga Fe Cl
1 1 2
direct
0.0000 0.0000 0.0000 Ga
0.5000 0.5000 0.5000 Fe
0.2500 0.2500 0.2500 Cl
0.7500 0.7500 0.7500 Cl
```

Output
Its formation energy from raw total energies is 0.01 eV per atom. For the mass density, the calculation gives 4.2 Mg/m³. As for the space group: Fm-3m.

=====

Record 5
The following is a DFT calculation (PBE-GGA) of crystalline GaFeCl2 at its relaxed geometry.

Geometry as POSCAR:
```
GaFeCl2
1.0
-3.2565 3.2565 4.9845
3.2565 -3.2565 4.9845
3.2565 3.2565 -4.9845
Ga Fe Cl
2 2 4
direct
0.0000 0.0000 0.0000 Ga
0.7500 0.2500 0.5000 Ga
0.2500 0.7500 0.5000 Fe
0.5000 0.5000 0.0000 Fe
0.2097 0.6250 0.0847 Cl
0.3750 0.4597 0.5847 Cl
0.5403 0.1250 0.9153 Cl
0.8750 0.7903 0.4153 Cl
```

Output
Its formation energy from raw total energies is -0.22 eV per atom. For the mass density, the calculation gives 3.1 Mg/m³. As for the space group: I-42d.

=====

Record 6
The following is a DFT calculation (PBE-GGA) of crystalline GaFe2Cl8 at its relaxed geometry.

Geometry as POSCAR:
```
GaFe2Cl8
1.0
6.2185 -4.5396 0.0000
6.2185 4.5396 0.0000
-0.2759 0.0000 6.1240
Ga Fe Cl
1 2 8
direct
0.0000 0.0000 0.0000 Ga
0.1846 0.1846 0.6160 Fe
0.8154 0.8154 0.3840 Fe
0.0936 0.7341 0.2182 Cl
0.1659 0.1659 0.2495 Cl
0.2659 0.9064 0.7818 Cl
0.3520 0.3520 0.7154 Cl
0.6480 0.6480 0.2846 Cl
0.7341 0.0936 0.2182 Cl
0.8341 0.8341 0.7505 Cl
0.9064 0.2659 0.7818 Cl
```

Output
Its formation energy from raw total energies is -0.84 eV per atom. For the mass density, the calculation gives 2.2 Mg/m³. As for the space group: C2/m.

=====

Record 7
The following is a DFT calculation (PBE-GGA) of crystalline Hf2GaFeCl at its relaxed geometry.

Geometry as POSCAR:
```
Hf2GaFeCl
1.0
4.6047 0.0000 0.0000
0.0000 4.6047 0.0000
0.0000 0.0000 4.1037
Hf Ga Fe Cl
2 1 1 1
direct
0.0000 0.5000 0.0000 Hf
0.5000 0.0000 0.0000 Hf
0.0000 0.0000 0.5000 Ga
0.5000 0.5000 0.5000 Fe
0.5000 0.5000 0.0000 Cl
```

Output
Its formation energy from raw total energies is 0.28 eV per atom. For the mass density, the calculation gives 9.9 Mg/m³. As for the space group: P4/mmm.

=====

Record 8
The following is a DFT calculation (PBE-GGA) of crystalline HfGaFe2Cl at its relaxed geometry.

Geometry as POSCAR:
```
HfGaFe2Cl
1.0
4.1408 0.0000 0.0000
0.0000 4.1408 0.0000
0.0000 0.0000 4.7403
Hf Ga Fe Cl
1 1 2 1
direct
0.0000 0.0000 0.0000 Hf
0.5000 0.5000 0.0000 Ga
0.0000 0.5000 0.5000 Fe
0.5000 0.0000 0.5000 Fe
0.0000 0.0000 0.5000 Cl
```

Output
Its formation energy from raw total energies is 0.40 eV per atom. For the mass density, the calculation gives 8.1 Mg/m³. As for the space group: P4/mmm.

=====

These records have uncorrected energy values of -3.049, -3.759, -3.901, -3.783, -4.012, -3.993, -6.369, -5.950 eV/atom, in the order they appear.